(1)
TlMoPd6, relaxed, DFT PBE; volume = 129.4 Å³/cell; DFT formation energy = -0.130 eV/atom
1.0
3.997 0.000 0.000
0.000 3.997 0.000
0.000 0.000 8.096
Tl Mo Pd
1 1 6
direct
0.000 0.000 0.000
0.000 0.000 0.500
0.000 0.500 0.266
0.000 0.500 0.734
0.500 0.000 0.266
0.500 0.000 0.734
0.500 0.500 0.000
0.500 0.500 0.500

(2)
TlMo2Pd, relaxed, DFT PBE; volume = 69.1 Å³/cell; DFT formation energy = 0.679 eV/atom
1.0
0.000 3.257 3.257
3.257 0.000 3.257
3.257 3.257 0.000
Tl Mo Pd
1 2 1
direct
0.000 0.000 0.000
0.250 0.250 0.250
0.750 0.750 0.750
0.500 0.500 0.500

(3)
TlMoPd2, relaxed, DFT PBE; volume = 69.6 Å³/cell; DFT formation energy = 0.288 eV/atom
1.0
0.000 3.265 3.265
3.265 0.000 3.265
3.265 3.265 0.000
Tl Mo Pd
1 1 2
direct
0.000 0.000 0.000
0.500 0.500 0.500
0.250 0.250 0.250
0.750 0.750 0.750

(4)
TlVMoPd2, relaxed, DFT PBE; volume = 120.3 Å³/cell; DFT formation energy = 1.962 eV/atom
1.0
4.858 0.000 0.000
0.000 4.858 0.000
0.000 0.000 5.098
Tl V Mo Pd
1 1 1 2
direct
0.000 0.000 0.000
0.500 0.500 0.500
0.000 0.000 0.500
0.000 0.500 0.000
0.500 0.000 0.000